This record from Alexandria via LeMat-Bulk describes a relaxed structure of CaAlCu2. The functional is PBE.

Computed properties:
Its space group is R3m (160). As for the total magnetization: 0.0000 μB per atom. Its total energy is -3.67 eV/atom.

abc: 4.2407 4.2407 5.7073
angles: 68.19 68.19 59.99
Element x y z (fractional)
Ca: 0.7501 0.7501 0.7494
Cu: 0.2518 0.2518 0.2449
Cu: 0.9418 0.9418 0.1747
Al: 0.5564 0.5564 0.3310